DFT (PBE) results for a relaxed TbGa6Cu6 crystal.

Cell: 5.1685 6.6336 6.6336 Å, 80.36 67.07 67.07°
Element x y z (fractional)
Cu  0.0000  0.5000  0.0000
Cu  0.0000  0.0000  0.5000
Cu  0.5000  0.2327  0.7673
Tb  0.0000  0.0000  0.0000
Cu  0.5000  0.0000  0.5000
Ga  0.0000  0.3466  0.6534
Ga  0.6518  0.3482  0.3482
Cu  0.5000  0.5000  0.0000
Ga  0.6943  0.8057  0.8057
Ga  0.0000  0.6534  0.3466
Cu  0.5000  0.7673  0.2327
Ga  0.3057  0.1943  0.1943
Ga  0.3482  0.6518  0.6518

Results
space-group type: No. 71
energy relative to the elements: -0.296 eV per atom